No. 1
Computed, not measured: an optimized crystal structure of Dy2FeNi at the PBE level of DFT.

a b c (Å): 4.7331 4.7331 4.7331
angles (deg): 60.00 60.00 60.00
Atoms (fractional coordinates):
Dy1 0.2500 0.2500 0.2500
Dy2 0.7500 0.7500 0.7500
Fe1 0.0000 0.0000 0.0000
Ni1 0.5000 0.5000 0.5000

Output
energy relative to the lowest polymorph listed for this composition: 26 meV per atom

***

No. 2
Computed, not measured: an optimized crystal structure of AgIrF4 at the PBE level of DFT.

a b c (Å): 5.2613 5.2613 5.2613
angles (deg): 110.97 110.97 106.52
Atoms (fractional coordinates):
Ag1 0.0000 0.0000 0.0000
Ir1 0.7500 0.2500 0.5000
F1 0.5214 0.0214 0.0427
F2 0.5214 0.4786 0.5000
F3 0.9786 0.0214 0.5000
F4 0.9786 0.4786 0.9573

Output
raw formation energy: -1.037 eV/atom

***

No. 3
Computed, not measured: an optimized crystal structure of LiTaMn2 at the PBE level of DFT.

a b c (Å): 5.0782 5.0782 5.0782
angles (deg): 146.36 131.31 60.49
Atoms (fractional coordinates):
Li1 0.0000 0.0000 0.0000
Ta1 0.2732 0.7732 0.5000
Mn1 0.5377 0.5377 0.0000
Mn2 0.7535 0.2535 0.5000

Output
DFT total energy: -7.7876 eV per atom

***

No. 4
Computed, not measured: an optimized crystal structure of Tb4Pm5Nd2 at the PBE level of DFT.

a b c (Å): 12.7854 12.7854 12.7854
angles (deg): 164.06 137.74 45.44
Atoms (fractional coordinates):
Tb1 0.0965 0.0965 0.0000
Tb2 0.1900 0.5000 0.6900
Tb3 0.8100 0.5000 0.3100
Tb4 0.9035 0.9035 0.0000
Pm1 0.1581 0.3559 0.8022
Pm2 0.4463 0.6441 0.8022
Pm3 0.5000 0.0000 0.5000
Pm4 0.5537 0.3559 0.1978
Pm5 0.8419 0.6441 0.1978
Nd1 0.2315 0.2315 0.0000
Nd2 0.7685 0.7685 0.0000

Output
energy relative to the lowest polymorph listed for this composition: 49 meV per atom

***

No. 5
Computed, not measured: an optimized crystal structure of UGeRu at the PBE level of DFT.

a b c (Å): 4.4155 4.4155 3.2389
angles (deg): 90.00 90.00 120.00
Atoms (fractional coordinates):
U1 0.0000 0.0000 0.0000
Ge1 0.6667 0.3333 0.5000
Ru1 0.3333 0.6667 0.5000

Output
DFT total energy: -8.7719 eV per atom

***

No. 6
Computed, not measured: an optimized crystal structure of CdGa3O at the PBE level of DFT.

a b c (Å): 4.5329 4.5329 4.5329
angles (deg): 90.00 90.00 90.00
Atoms (fractional coordinates):
Cd1 0.0000 0.0000 0.0000
Ga1 0.0000 0.5000 0.5000
Ga2 0.5000 0.0000 0.5000
Ga3 0.5000 0.5000 0.0000
O1 0.5000 0.5000 0.5000

Output
raw formation energy: -0.167 eV/atom
energy relative to the lowest polymorph listed for this composition: 0 meV per atom

***

No. 7
Computed, not measured: an optimized crystal structure of CeMg4Zr at the PBE level of DFT.

a b c (Å): 5.8934 5.8934 5.8934
angles (deg): 60.00 60.00 60.00
Atoms (fractional coordinates):
Ce1 0.0000 0.0000 0.0000
Mg1 0.3758 0.3758 0.3758
Mg2 0.3758 0.3758 0.8727
Mg3 0.3758 0.8727 0.3758
Mg4 0.8727 0.3758 0.3758
Zr1 0.7500 0.7500 0.7500

Output
DFT total energy: -3.3931 eV per atom

***

No. 8
Computed, not measured: an optimized crystal structure of SrPmSiHg at the PBE level of DFT.

a b c (Å): 5.3680 5.3680 5.3680
angles (deg): 60.00 60.00 60.00
Atoms (fractional coordinates):
Sr1 0.0000 0.0000 0.0000
Pm1 0.5000 0.5000 0.5000
Si1 0.7500 0.7500 0.7500
Hg1 0.2500 0.2500 0.2500

Output
raw formation energy: -0.377 eV/atom